# Ac4In2Pb5 (PBE, optimized geometry)
# Energy of formation from the pure elements: -0.402 eV/atom
# Calculated volume: 34.01 A^3/atom
data_Ac4In2Pb5
_chemical_formula_sum 'Ac4 In2 Pb5'
_cell_length_a 8.816
_cell_length_b 3.827
_cell_length_c 11.110
_cell_angle_alpha 90.00
_cell_angle_beta 93.51
_cell_angle_gamma 90.00
_space_group_name_H-M_alt 'P 1 2/m 1'
_space_group_IT_number 10
loop_
_space_group_symop_operation_xyz
'x,y,z'
'-x,-y,-z'
'-x,y,-z'
'x,-y,z'
loop_
_atom_site_label
_atom_site_fract_x
_atom_site_fract_y
_atom_site_fract_z
_atom_site_occupancy
Ac1 0.180 0.000 0.384 1
Ac2 0.272 0.000 0.929 1
In1 0.064 0.500 0.130 1
Pb1 0.179 0.500 0.662 1
Pb2 0.424 0.500 0.196 1
Pb3 0.500 0.500 0.500 1

***

# Ac3In2Pb (PBE, optimized geometry)
# Energy of formation from the pure elements: -0.438 eV/atom
# Polymorph energy (0 for the lowest one): 0 meV/atom
# Calculated volume: 35.14 A^3/atom
data_Ac3In2Pb
_chemical_formula_sum 'Ac3 In2 Pb1'
_cell_length_a 4.157
_cell_length_b 4.157
_cell_length_c 12.203
_cell_angle_alpha 90.00
_cell_angle_beta 90.00
_cell_angle_gamma 90.00
_space_group_name_H-M_alt 'P 4/m m m'
_space_group_IT_number 123
_space_group_name_Hall '-P 4 2'
loop_
_atom_site_label
_atom_site_fract_x
_atom_site_fract_y
_atom_site_fract_z
_atom_site_occupancy
Ac1 0.000 0.000 0.000 1
Ac2 0.000 0.000 0.329 1
In1 0.500 0.500 0.162 1
Pb1 0.500 0.500 0.500 1

***

| no. | total magnetic moment (μB/f.u.) | E_tot (eV/atom) |
| --- | --- | --- |
| 1 | 0.00 | -4.080 |
| 2 | 0.00 | -4.023 |